Entry 1:
Cu2Mo | GGA-PBE | optimized geometry

a b c (Å): 4.7975 4.7975 4.7975
angles (deg): 60.00 60.00 60.00
Sites, in units of the cell vectors:
Cu (0.0000, 0.0000, 0.0000)
Cu (0.0000, 0.0000, 0.5000)
Cu (0.0000, 0.5000, 0.0000)
Cu (0.5000, 0.0000, 0.0000)
Mo (0.3750, 0.3750, 0.3750)
Mo (0.6250, 0.6250, 0.6250)

ΔH_f (0 K), eV per atom: 0.2111
M_tot, μB/atom: 0.00
Density of states at the Fermi level, states/eV/atom: 1.163

***

Entry 2:
KMgCd4 | GGA-PBE | optimized geometry

a b c (Å): 6.0631 6.0631 6.0631
angles (deg): 60.00 60.00 60.00
Sites, in units of the cell vectors:
K (0.0000, 0.0000, 0.0000)
Mg (0.2500, 0.2500, 0.2500)
Cd (0.1259, 0.6247, 0.6247)
Cd (0.6247, 0.1259, 0.6247)
Cd (0.6247, 0.6247, 0.1259)
Cd (0.6247, 0.6247, 0.6247)

E above lowest polymorph, eV/f.u.: 0.04
ΔH_f (0 K), eV per atom: -0.0016
M_tot, μB/atom: 0.00
Density of states at the Fermi level, states/eV/atom: 0.645

***

Entry 3:
Tm6Rh2AuSe3 | GGA-PBE | optimized geometry

a b c (Å): 6.8151 6.8151 7.4135
angles (deg): 98.84 98.84 120.00
Sites, in units of the cell vectors:
Tm (0.0709, 0.4221, 0.7675)
Tm (0.2246, 0.2246, 0.2295)
Tm (0.4221, 0.0709, 0.7675)
Tm (0.5779, 0.9291, 0.2325)
Tm (0.7754, 0.7754, 0.7705)
Tm (0.9291, 0.5779, 0.2325)
Rh (0.1678, 0.8322, 0.0000)
Rh (0.8322, 0.1678, 0.0000)
Au (0.5000, 0.5000, 0.0000)
Se (0.0000, 0.0000, 0.5000)
Se (0.3376, 0.6624, 0.5000)
Se (0.6624, 0.3376, 0.5000)

E_form (uncorrected), eV per atom: -1.246
M_tot, μB/atom: 0.00
Density of states at the Fermi level, states/eV/atom: 0.638

***

Entry 4:
BMo2Pb | GGA-PBE | optimized geometry

a b c (Å): 4.4563 4.4563 4.4563
angles (deg): 60.00 60.00 60.00
Sites, in units of the cell vectors:
B (0.0000, 0.0000, 0.0000)
Mo (0.2500, 0.2500, 0.2500)
Mo (0.7500, 0.7500, 0.7500)
Pb (0.5000, 0.5000, 0.5000)

E above lowest polymorph, eV/f.u.: 0.14
ΔH_f (0 K), eV per atom: 1.1440
M_tot, μB/atom: 0.00
Density of states at the Fermi level, states/eV/atom: 0.726

***

What did the fourth record say?
BMo2Pb | GGA-PBE | optimized geometry

a b c (Å): 4.4563 4.4563 4.4563
angles (deg): 60.00 60.00 60.00
Sites, in units of the cell vectors:
B (0.0000, 0.0000, 0.0000)
Mo (0.2500, 0.2500, 0.2500)
Mo (0.7500, 0.7500, 0.7500)
Pb (0.5000, 0.5000, 0.5000)

E above lowest polymorph, eV/f.u.: 0.14
ΔH_f (0 K), eV per atom: 1.1440
M_tot, μB/atom: 0.00
Density of states at the Fermi level, states/eV/atom: 0.726